Record 1
Entry from the Alexandria database: a relaxed structure of CsRbBi2Pd (GGA-PBE).

```
CsRbBi2Pd
1.0
-0.954 -5.171 1.742
4.882 -0.018 2.618
-2.782 2.266 5.204
Bi Cs Pd Rb
2 1 1 1
Direct
0.500 0.000 0.000
0.000 0.500 0.000
0.500 0.500 0.500
0.000 0.000 0.000
0.000 0.000 0.500
```

Values from the calculation:
Formation energy from the elements ... -15.7 kJ per mole of atoms
Raw total energy ... -3.118 eV/atom
Theoretical density ... 6359 kg/m3
Crystal system ... tetragonal
Total magnetization ... 0.00 μB/f.u.

Record 2
Entry from the Alexandria database: a relaxed structure of Cs2ReBiPd (GGA-PBE).

```
Cs2ReBiPd
1.0
6.289 0.000 0.000
0.000 4.803 0.000
0.000 0.000 6.289
Cs Re Pd Bi
2 1 1 1
Direct
0.000 0.000 0.500
0.500 0.000 0.000
0.000 0.000 0.000
0.000 0.500 0.000
0.500 0.500 0.500
```

Values from the calculation:
Formation energy from the elements ... 130.7 kJ per mole of atoms
Raw total energy ... -3.291 eV/atom
Theoretical density ... 6708 kg/m3
Crystal system ... tetragonal
Total magnetization ... 2.00 μB/f.u.

Record 3
Entry from the Alexandria database: a relaxed structure of Cs2TlBi2Pd (GGA-PBE).

```
Cs2TlBi2Pd
1.0
7.450 0.000 0.000
0.000 7.823 0.000
-3.725 -3.911 8.546
Cs Tl Bi Pd
4 2 4 2
Direct
0.833 0.596 0.666
0.167 0.404 0.334
0.333 0.069 0.666
0.667 0.931 0.334
0.750 0.000 0.000
0.250 0.000 0.000
0.579 0.380 0.159
0.921 0.222 0.841
0.079 0.778 0.159
0.421 0.620 0.841
0.750 0.500 0.000
0.250 0.500 0.000
```

Values from the calculation:
Formation energy from the elements ... -25.3 kJ per mole of atoms
Raw total energy ... -3.100 eV/atom
Theoretical density ... 6632 kg/m3
Crystal system ... orthorhombic
Total magnetization ... 0.00 μB/f.u.

> What is the formula in the third record?

Cs2TlBi2Pd

> The highest total magnetization belongs to which entry?

Cs2ReBiPd

> Which formula does entry 1 have?

CsRbBi2Pd

> Which of these has the highest total magnetization?

Cs2ReBiPd